1.
A plane-wave DFT calculation with GGA-PBE was carried out for an optimized crystal structure of Tb2PrMg9.

a = 6.0548 Å, b = 6.0548 Å, c = 29.4801 Å
α = 90.00°, β = 90.00°, γ = 120.00°
Space group R-3m (No. 166, hexagonal axes)
One atom of each set of equivalent atoms:
Tb 0.0000 0.0000 0.1441
Pr 0.0000 0.0000 0.0000
Mg 0.0000 0.0000 0.3341
Mg 0.0000 0.0000 0.5000
Mg 0.0049 0.5024 0.9153

***

2.
A plane-wave DFT calculation with GGA-PBE was carried out for an optimized crystal structure of BaCaAu.

a = 7.699 Å, b = 7.699 Å, c = 7.699 Å
α = 90.00°, β = 90.00°, γ = 90.00°
Space group F-43m (No. 216)
One atom of each set of equivalent atoms:
Ba 0.000 0.000 0.000
Ca 0.250 0.250 0.750
Au 0.250 0.250 0.250

Summary:
Distance to the lowest polymorph of the same formula (meV per atom): 684

***

3.
A plane-wave DFT calculation with GGA-PBE was carried out for an optimized crystal structure of Li2ScHg.

a = 3.222 Å, b = 4.867 Å, c = 5.217 Å
α = 90.00°, β = 90.43°, γ = 90.00°
Space group Pm (No. 6)
One atom of each set of equivalent atoms:
Li 0.000 0.000 0.000
Li 0.494 0.500 0.899
Sc 0.989 0.500 0.421
Hg 0.490 0.000 0.534

***

no.,Fermi-level density of states (states/eV/atom),calculated formation energy (eV per atom)
1,1.005,-0.059
2,1.352,0.151
3,1.124,-0.130